Entry 1:
Ca3ZnSe4 | PBE | optimized geometry

Structure (POSCAR):
```
Ca3ZnSe4
1.0
6.378 0.000 0.000
0.000 6.378 0.000
0.000 0.000 6.378
Ca Se Zn
3 4 1
Cartesian
3.189 3.189 0.000 Ca
0.000 3.189 3.189 Ca
3.189 0.000 3.189 Ca
1.465 4.913 4.913 Se
4.913 4.913 1.465 Se
4.913 1.465 4.913 Se
1.465 1.465 1.465 Se
0.000 0.000 0.000 Zn
```

Output
Its energy is -4.1065 eV per atom. Its uncorrected formation energy is -1454 meV/atom.


Entry 2:
Tb3SmMg3 | PBE | optimized geometry

Structure (POSCAR):
```
Tb3SmMg3
1.0
-2.768 2.124 4.249
-6.632 -6.222 -1.210
7.079 -1.858 5.541
Tb Sm Mg
6 2 6
Cartesian
-5.622 -5.838 1.034 Tb
3.301 -0.118 7.546 Tb
-1.720 -0.135 4.283 Tb
-0.601 -5.821 4.297 Tb
-0.286 -4.911 7.605 Tb
-2.036 -1.045 0.975 Tb
-2.751 -4.233 2.103 Sm
0.429 -1.723 6.477 Sm
0.147 -2.742 3.245 Mg
-4.579 -1.555 3.130 Mg
-2.468 -3.214 5.335 Mg
-5.367 -4.757 4.217 Mg
2.258 -4.402 5.451 Mg
3.046 -1.200 4.363 Mg
```

Output
Its energy is -3.3381 eV per atom. The energy relative to the elements comes out at 0.0038 eV per atom.


Entry 3:
HgOs2 | PBE | optimized geometry

Structure (POSCAR):
```
HgOs2
1.0
-1.218 -2.321 1.051
0.337 0.277 -2.790
6.370 -3.135 0.458
Os Hg
2 1
Cartesian
3.908 -2.602 -1.216 Os
1.581 -2.577 -0.065 Os
0.000 0.000 0.000 Hg
```

Output
Its energy is -7.0365 eV per atom. The energy relative to the elements comes out at 0.5506 eV per atom.


Entry 4:
ZnN | PBE | optimized geometry

Structure (POSCAR):
```
ZnN
1.0
-1.063 -3.010 1.178
0.544 -1.916 -4.406
9.022 -2.350 2.137
N Zn
6 6
Cartesian
7.185 -3.607 2.182 N
4.220 -3.526 -0.288 N
0.829 -1.952 0.676 N
0.304 -1.070 -2.460 N
6.360 -3.339 -2.793 N
3.694 -2.645 -3.425 N
5.456 -3.379 1.204 Zn
4.866 -2.427 -1.810 Zn
2.696 -2.660 0.550 Zn
8.090 -3.567 -1.815 Zn
1.828 -1.936 -3.299 Zn
-0.343 -2.169 -0.939 Zn
```

Output
Its energy is -4.1174 eV per atom. Its uncorrected formation energy is 682 meV/atom.


Entry 5:
LaBe3Pt | PBE | optimized geometry

Structure (POSCAR):
```
LaBe3Pt
1.0
3.230 0.000 0.000
0.000 3.230 0.000
0.000 0.000 7.233
Be La Pt
3 1 1
Cartesian
0.000 0.000 4.615 Be
1.615 0.000 3.154 Be
0.000 1.615 3.154 Be
0.000 0.000 0.373 La
1.615 1.615 5.079 Pt
```

Output
Its energy is -4.6175 eV per atom. The energy relative to the elements comes out at -0.1881 eV per atom.


Entry 6:
Sb4Se4I3 | PBE | optimized geometry

Structure (POSCAR):
```
Sb4Se4I3
1.0
3.929 0.000 0.000
0.000 9.619 0.000
-1.965 -4.810 8.543
I Sb Se
3 4 4
Cartesian
0.000 4.810 0.000 I
0.000 0.000 1.798 I
1.965 4.810 6.745 I
1.965 7.339 0.000 Sb
1.965 0.000 4.858 Sb
0.000 4.810 3.686 Sb
1.965 2.280 0.000 Sb
0.000 1.822 5.741 Se
0.000 -1.822 5.741 Se
1.965 6.632 2.802 Se
1.965 2.987 2.802 Se
```

Output
Its energy is -3.2010 eV per atom. Its uncorrected formation energy is -12 meV/atom.


Entry 7:
CdFeAs | PBE | optimized geometry

Structure (POSCAR):
```
CdFeAs
1.0
-0.111 -2.931 3.132
3.641 -1.802 1.383
1.526 0.962 3.893
Cd As Fe
1 1 1
Cartesian
2.528 -1.885 4.204 Cd
0.000 0.000 0.000 As
3.792 -2.828 6.306 Fe
```

Output
Its energy is -4.4162 eV per atom. The energy relative to the elements comes out at 0.2596 eV per atom.


Entry 8:
FeReAg2S | PBE | optimized geometry

Structure (POSCAR):
```
FeReAg2S
1.0
4.680 0.000 0.000
0.000 4.142 0.000
0.000 0.000 4.680
S Ag Re Fe
1 2 1 1
Cartesian
0.000 0.000 0.000 S
0.000 0.000 2.340 Ag
2.340 0.000 0.000 Ag
2.340 2.071 2.340 Re
0.000 2.071 0.000 Fe
```

Output
Its energy is -4.8635 eV per atom. Its uncorrected formation energy is 1285 meV/atom.